(1)
Y2BeCd: PBEsol geometry, meta-GGA SCAN.

Computed properties:
* volume: 87.6 Å³ per cell
* E: -22.8239 eV per atom
* energy of formation: -0.21 eV per atom
* SG: P4/mmm, No. 123

The structure in extended XYZ format:
```
4
Lattice="3.457 0.000 0.000 0.000 3.457 0.000 0.000 0.000 7.334" Properties=species:S:1:pos:R:3 pbc="T T T"
Y 0.000 0.000 1.612
Y 0.000 0.000 5.722
Be 1.728 1.728 0.000
Cd 1.728 1.728 3.667
```



(2)
CoSiRh2: PBEsol geometry, meta-GGA SCAN.

Computed properties:
* volume: 49.1 Å³ per cell
* E: -24.1091 eV per atom
* SG: Amm2, No. 38

The structure in extended XYZ format:
```
4
Lattice="3.793 0.000 0.000 0.000 1.354 4.777 0.000 -1.354 4.777" Properties=species:S:1:pos:R:3 pbc="T T T"
Co 0.000 0.000 0.000
Si 1.896 0.000 8.223
Rh 0.000 0.000 2.547
Rh 1.896 0.000 5.733
```



(3)
BaCrSb2: PBEsol geometry, meta-GGA SCAN.

Computed properties:
* volume: 110.5 Å³ per cell
* E: -33.2511 eV per atom
* SG: Fm-3m, No. 225

The structure in extended XYZ format:
```
4
Lattice="0.000 3.809 3.809 3.809 0.000 3.809 3.809 3.809 0.000" Properties=species:S:1:pos:R:3 pbc="T T T"
Ba 0.000 0.000 0.000
Cr 3.809 3.809 3.809
Sb 1.904 1.904 1.904
Sb 5.713 5.713 5.713
```



(4)
Ca2TaW: PBEsol geometry, meta-GGA SCAN.

Computed properties:
* volume: 83.3 Å³ per cell
* E: -37.9370 eV per atom
* energy of formation: 0.96 eV per atom
* SG: Cmmm, No. 65

The structure in extended XYZ format:
```
4
Lattice="1.788 -2.184 0.000 1.788 2.184 0.000 0.000 0.000 10.661" Properties=species:S:1:pos:R:3 pbc="T T T"
Ca 0.000 0.000 2.556
Ca 0.000 0.000 8.105
Ta 1.788 0.000 5.331
W 1.788 0.000 0.000
```



(5)
MgReAu: PBEsol geometry, meta-GGA SCAN.

Computed properties:
* volume: 55.1 Å³ per cell
* E: -47.3411 eV per atom
* energy of formation: 1.07 eV per atom
* SG: F-43m, No. 216

The structure in extended XYZ format:
```
3
Lattice="0.000 3.020 3.020 3.020 0.000 3.020 3.020 3.020 0.000" Properties=species:S:1:pos:R:3 pbc="T T T"
Mg 0.000 0.000 0.000
Re 1.510 1.510 1.510
Au 4.531 4.531 4.531
```



(6)
Tc5Mo: PBEsol geometry, meta-GGA SCAN.

Computed properties:
* volume: 85.2 Å³ per cell
* E: -34.9409 eV per atom
* energy of formation: 0.09 eV per atom
* SG: R32, No. 155

The structure in extended XYZ format:
```
6
Lattice="2.366 1.366 4.391 -2.366 1.366 4.391 0.000 -2.732 4.391" Properties=species:S:1:pos:R:3 pbc="T T T"
Tc -1.586 0.016 4.391
Tc 0.000 0.000 2.208
Tc 0.780 -1.382 4.391
Tc 0.807 1.366 4.391
Tc 0.000 0.000 10.964
Mo 0.000 0.000 6.586
```



(7)
CaNiAg2: PBEsol geometry, meta-GGA SCAN.

Computed properties:
* volume: 72.2 Å³ per cell
* E: -22.0674 eV per atom
* energy of formation: 0.08 eV per atom
* SG: P4mm, No. 99

The structure in extended XYZ format:
```
4
Lattice="3.343 0.000 0.000 0.000 3.343 0.000 0.000 0.000 6.459" Properties=species:S:1:pos:R:3 pbc="T T T"
Ca 0.000 0.000 0.000
Ni 1.672 1.672 1.756
Ag 0.000 0.000 2.963
Ag 1.672 1.672 4.453
```



(8)
CsTiCl3: PBEsol geometry, meta-GGA SCAN.

Computed properties:
* volume: 125.2 Å³ per cell
* E: -17.4748 eV per atom
* SG: Pm-3m, No. 221

The structure in extended XYZ format:
```
5
Lattice="5.002 0.000 0.000 0.000 5.002 0.000 0.000 0.000 5.002" Properties=species:S:1:pos:R:3 pbc="T T T"
Cs 0.000 0.000 0.000
Ti 2.501 2.501 2.501
Cl 0.000 2.501 2.501
Cl 2.501 0.000 2.501
Cl 2.501 2.501 0.000
```



(9)
RbRuCSe2: PBEsol geometry, meta-GGA SCAN.

Computed properties:
* volume: 103.6 Å³ per cell
* E: -20.8064 eV per atom
* SG: P4/mmm, No. 123

The structure in extended XYZ format:
```
5
Lattice="5.215 0.000 0.000 0.000 5.215 0.000 0.000 0.000 3.810" Properties=species:S:1:pos:R:3 pbc="T T T"
Rb 0.000 0.000 0.000
Ru 2.608 2.608 1.905
C 2.608 2.608 0.000
Se 0.000 2.608 1.905
Se 2.608 0.000 1.905
```



(10)
Mg3Au: PBEsol geometry, meta-GGA SCAN.

Computed properties:
* volume: 73.8 Å³ per cell
* E: -21.5068 eV per atom
* energy of formation: -0.49 eV per atom
* SG: Fm-3m, No. 225

The structure in extended XYZ format:
```
4
Lattice="0.000 3.330 3.330 3.330 0.000 3.330 3.330 3.330 0.000" Properties=species:S:1:pos:R:3 pbc="T T T"
Mg 0.000 0.000 0.000
Mg 1.665 1.665 1.665
Mg 4.994 4.994 4.994
Au 3.330 3.330 3.330
```



(11)
MgSiPb: PBEsol geometry, meta-GGA SCAN.

Computed properties:
* volume: 79.2 Å³ per cell
* E: -29.8116 eV per atom
* SG: F-43m, No. 216

The structure in extended XYZ format:
```
3
Lattice="0.000 3.408 3.408 3.408 0.000 3.408 3.408 3.408 0.000" Properties=species:S:1:pos:R:3 pbc="T T T"
Mg 0.000 0.000 0.000
Si 3.408 3.408 3.408
Pb 5.112 5.112 5.112
```



(12)
Li2Sn3P4O14: PBEsol geometry, meta-GGA SCAN.

Computed properties:
* volume: 311.6 Å³ per cell
* E: -12.6728 eV per atom
* SG: P-1, No. 2

The structure in extended XYZ format:
```
23
Lattice="6.229 0.000 0.000 -3.029 6.774 0.000 -0.995 -2.413 7.384" Properties=species:S:1:pos:R:3 pbc="T T T"
Li 0.879 -0.517 2.256
Li 1.326 4.878 5.128
Sn -0.885 1.614 5.155
Sn 3.115 0.000 0.000
Sn 3.090 2.746 2.229
P -0.079 1.902 0.464
P -0.022 4.143 2.490
P 2.228 0.217 4.893
P 2.284 2.459 6.919
O -2.537 2.787 6.404
O -1.036 -0.310 6.326
O -1.242 3.431 3.127
O 0.961 0.895 0.939
O 0.317 3.352 1.085
O 0.975 0.327 4.033
O -0.351 5.559 2.048
O 2.556 -1.199 5.336
O 1.231 4.033 3.351
O 1.888 1.008 6.298
O 1.245 3.466 6.444
O 3.448 0.929 4.257
O 3.241 4.670 1.058
O 4.742 1.574 0.979
```



(13)
K2CrO4: PBEsol geometry, meta-GGA SCAN.

Computed properties:
* volume: 460.5 Å³ per cell
* E: -10.7514 eV per atom
* SG: Pnma, No. 62

The structure in extended XYZ format:
```
28
Lattice="7.611 0.000 0.000 0.000 5.862 0.000 0.000 0.000 10.320" Properties=species:S:1:pos:R:3 pbc="T T T"
K 0.051 1.466 2.040
K 1.245 4.397 4.343
K 2.561 1.466 9.503
K 3.755 4.397 7.199
K 3.856 1.466 3.120
K 5.051 4.397 0.817
K 6.367 1.466 5.976
K 7.561 4.397 8.280
Cr 1.725 4.397 0.831
Cr 2.081 1.466 5.991
Cr 5.531 4.397 4.328
Cr 5.886 1.466 9.488
O 0.084 4.397 0.781
O 1.459 1.466 4.459
O 1.544 0.121 6.778
O 1.544 2.810 6.778
O 2.262 3.052 1.618
O 2.262 5.741 1.618
O 2.346 4.397 9.619
O 3.722 1.466 5.941
O 3.890 4.397 4.379
O 5.265 1.466 0.701
O 5.350 0.121 8.702
O 5.350 2.810 8.702
O 6.067 3.052 3.542
O 6.067 5.741 3.542
O 6.152 4.397 5.861
O 7.527 1.466 9.539
```



(14)
HgTe2Pb: PBEsol geometry, meta-GGA SCAN.

Computed properties:
* volume: 112.8 Å³ per cell
* E: -54.4633 eV per atom
* SG: P4mm, No. 99

The structure in extended XYZ format:
```
4
Lattice="3.364 0.000 0.000 0.000 3.364 0.000 0.000 0.000 9.971" Properties=species:S:1:pos:R:3 pbc="T T T"
Hg 0.000 0.000 0.000
Te 0.000 0.000 4.576
Te 1.682 1.682 7.753
Pb 1.682 1.682 2.223
```



(15)
SiNiTe2: PBEsol geometry, meta-GGA SCAN.

Computed properties:
* volume: 93.2 Å³ per cell
* E: -24.8106 eV per atom
* SG: R-3m, No. 166

The structure in extended XYZ format:
```
4
Lattice="1.773 1.024 8.559 -1.773 1.024 8.559 0.000 -2.047 8.559" Properties=species:S:1:pos:R:3 pbc="T T T"
Si 0.000 0.000 0.000
Ni 0.000 0.000 12.839
Te 0.000 0.000 2.803
Te 0.000 0.000 22.876
```



(16)
TaTe2RhN: PBEsol geometry, meta-GGA SCAN.

Computed properties:
* volume: 133.6 Å³ per cell
* E: -35.3177 eV per atom
* SG: P4/mmm, No. 123

The structure in extended XYZ format:
```
5
Lattice="5.327 0.000 0.000 0.000 5.327 0.000 0.000 0.000 4.707" Properties=species:S:1:pos:R:3 pbc="T T T"
Ta 0.000 0.000 0.000
Te 0.000 2.663 0.000
Te 2.663 0.000 0.000
Rh 0.000 0.000 2.354
N 2.663 2.663 2.354
```



(17)
TiAs2SeBr: PBEsol geometry, meta-GGA SCAN.

Computed properties:
* volume: 114.5 Å³ per cell
* E: -19.2246 eV per atom
* SG: P4/mmm, No. 123

The structure in extended XYZ format:
```
5
Lattice="4.925 0.000 0.000 0.000 4.925 0.000 0.000 0.000 4.721" Properties=species:S:1:pos:R:3 pbc="T T T"
Ti 0.000 0.000 0.000
As 0.000 2.462 0.000
As 2.462 0.000 0.000
Se 0.000 0.000 2.360
Br 2.462 2.462 2.360
```



(18)
Sc3Ta: PBEsol geometry, meta-GGA SCAN.

Computed properties:
* volume: 83.7 Å³ per cell
* E: -27.1079 eV per atom
* energy of formation: 0.22 eV per atom
* SG: Pm-3m, No. 221

The structure in extended XYZ format:
```
4
Lattice="4.374 0.000 0.000 0.000 4.374 0.000 0.000 0.000 4.374" Properties=species:S:1:pos:R:3 pbc="T T T"
Sc 0.000 0.000 2.187
Sc 0.000 2.187 0.000
Sc 2.187 0.000 0.000
Ta 2.187 2.187 2.187
```



(19)
Li3NbW: PBEsol geometry, meta-GGA SCAN.

Computed properties:
* volume: 80.8 Å³ per cell
* E: -19.9267 eV per atom
* energy of formation: 2.07 eV per atom
* SG: Pm-3m, No. 221

The structure in extended XYZ format:
```
5
Lattice="4.323 0.000 0.000 0.000 4.323 0.000 0.000 0.000 4.323" Properties=species:S:1:pos:R:3 pbc="T T T"
Li 0.000 0.000 2.161
Li 0.000 2.161 0.000
Li 2.161 0.000 0.000
Nb 0.000 0.000 0.000
W 2.161 2.161 2.161
```



(20)
Li2CaFe: PBEsol geometry, meta-GGA SCAN.

Computed properties:
* volume: 77.4 Å³ per cell
* E: -7.6224 eV per atom
* energy of formation: 0.52 eV per atom
* SG: Cmmm, No. 65

The structure in extended XYZ format:
```
4
Lattice="2.761 -4.771 0.000 2.761 4.771 0.000 0.000 0.000 2.938" Properties=species:S:1:pos:R:3 pbc="T T T"
Li 1.380 2.385 0.000
Li 1.380 -2.385 0.000
Ca 0.000 0.000 1.469
Fe 2.761 0.000 1.469
```



(21)
ZrSiAu2: PBEsol geometry, meta-GGA SCAN.

Computed properties:
* volume: 69.1 Å³ per cell
* E: -45.2214 eV per atom
* SG: Immm, No. 71

The structure in extended XYZ format:
```
4
Lattice="-1.947 2.050 4.332 1.947 -2.050 4.332 1.947 2.050 -4.332" Properties=species:S:1:pos:R:3 pbc="T T T"
Zr 0.000 0.000 0.000
Si 0.000 0.000 4.332
Au 1.947 0.000 2.275
Au 0.000 2.050 2.057
```



(22)
Mn2SeCl: PBEsol geometry, meta-GGA SCAN.

Computed properties:
* volume: 64.5 Å³ per cell
* E: -16.5134 eV per atom
* SG: P4/mmm, No. 123

The structure in extended XYZ format:
```
4
Lattice="3.146 0.000 0.000 0.000 3.146 0.000 0.000 0.000 6.512" Properties=species:S:1:pos:R:3 pbc="T T T"
Mn 0.000 0.000 1.412
Mn 0.000 0.000 5.100
Se 1.573 1.573 0.000
Cl 1.573 1.573 3.256
```



(23)
BaZrAg2: PBEsol geometry, meta-GGA SCAN.

Computed properties:
* volume: 94.5 Å³ per cell
* E: -33.0028 eV per atom
* energy of formation: 0.24 eV per atom
* SG: Cm, No. 8

The structure in extended XYZ format:
```
4
Lattice="5.760 -1.570 0.000 5.760 1.570 0.000 -1.503 0.000 5.223" Properties=species:S:1:pos:R:3 pbc="T T T"
Ba 0.000 0.000 0.000
Zr 8.580 0.000 2.011
Ag 1.521 0.000 4.343
Ag 5.505 0.000 2.709
```



(24)
NaAl3Ni: PBEsol geometry, meta-GGA SCAN.

Computed properties:
* volume: 93.3 Å³ per cell
* E: -8.8533 eV per atom
* energy of formation: -0.12 eV per atom
* SG: Pm-3m, No. 221

The structure in extended XYZ format:
```
5
Lattice="4.535 0.000 0.000 0.000 4.535 0.000 0.000 0.000 4.535" Properties=species:S:1:pos:R:3 pbc="T T T"
Na 0.000 0.000 0.000
Al 0.000 2.267 2.267
Al 2.267 0.000 2.267
Al 2.267 2.267 0.000
Ni 2.267 2.267 2.267
```



(25)
KZrAg2: PBEsol geometry, meta-GGA SCAN.

Computed properties:
* volume: 96.7 Å³ per cell
* E: -25.3510 eV per atom
* energy of formation: 0.09 eV per atom
* SG: P4/mmm, No. 123

The structure in extended XYZ format:
```
4
Lattice="3.450 0.000 0.000 0.000 3.450 0.000 0.000 0.000 8.126" Properties=species:S:1:pos:R:3 pbc="T T T"
K 0.000 0.000 0.000
Zr 0.000 0.000 4.063
Ag 1.725 1.725 2.540
Ag 1.725 1.725 5.586
```



(26)
CsSi2Ir: PBEsol geometry, meta-GGA SCAN.

Computed properties:
* volume: 251.2 Å³ per cell
* E: -32.5867 eV per atom
* SG: I4_1/amd, No. 141

The structure in extended XYZ format:
```
8
Lattice="-3.197 3.197 6.143 3.197 -3.197 6.143 3.197 3.197 -6.143" Properties=species:S:1:pos:R:3 pbc="T T T"
Cs 3.197 1.599 1.536
Cs 0.000 1.599 4.608
Si 0.000 0.000 0.000
Si 1.599 1.599 -3.072
Si 1.599 -1.599 3.072
Si 0.000 3.197 0.000
Ir 3.197 -1.599 4.608
Ir 0.000 4.796 1.536
```



(27)
Ag2C3: PBEsol geometry, meta-GGA SCAN.

Computed properties:
* volume: 175.6 Å³ per cell
* E: -17.3706 eV per atom
* energy of formation: 1.24 eV per atom
* SG: Fddd, No. 70

The structure in extended XYZ format:
```
10
Lattice="0.000 5.636 5.646 2.758 0.000 5.646 2.758 5.636 0.000" Properties=species:S:1:pos:R:3 pbc="T T T"
Ag 2.069 4.227 1.146
Ag 3.448 7.045 3.969
Ag 2.069 4.227 7.324
Ag 3.448 7.045 10.147
C 0.690 0.099 1.412
C 0.690 1.409 1.412
C 0.690 2.719 1.412
C 4.827 8.553 9.881
C 4.827 9.863 9.881
C 4.827 11.173 9.881
```